Nd4FeCl5 | PBE | optimized geometry

```
data_Nd4FeCl5
_chemical_formula_sum 'Nd8 Fe2 Cl10'
_cell_length_a 17.7433
_cell_length_b 4.0635
_cell_length_c 8.8454
_cell_angle_alpha 90.00
_cell_angle_beta 106.78
_cell_angle_gamma 90.00
_space_group_name_H-M_alt 'C 1 2/m 1'
_space_group_IT_number 12
loop_
_space_group_symop_operation_xyz
'x,y,z'
'-x,-y,-z'
'-x,y,-z'
'x,-y,z'
'x+1/2,y+1/2,z'
'-x+1/2,-y+1/2,-z'
'-x+1/2,y+1/2,-z'
'x+1/2,-y+1/2,z'
loop_
_atom_site_label
_atom_site_fract_x
_atom_site_fract_y
_atom_site_fract_z
Nd1 0.0031 0.0000 0.2377
Nd2 0.1440 0.5000 0.0813
Fe1 0.0000 0.5000 0.0000
Cl1 0.0000 0.5000 0.5000
Cl2 0.1679 0.0000 0.8619
Cl3 0.1696 0.0000 0.3207
```

## Properties
- raw total energy (eV per atom) = -5.21
- uncorrected formation energy (eV/atom) = -1.53